# 1
The following is a DFT calculation (GGA-PBEsol) of a geometry-optimized LaTaNb3 structure.

Output
- formation energy from the elements (eV per formula unit) = 5.2

abc: 4.9569 4.9569 4.9569
angles: 90.00 90.00 90.00
With the nearest neighbours (Å) after each atom.
Space group Pm-3m (No. 221)
One atom of each set of equivalent atoms:
La  0.0000  0.0000  0.0000 (multiplicity 1)  12 Nb 3.51
Ta  0.5000  0.5000  0.5000 (multiplicity 1)  6 Nb 2.48
Nb  0.0000  0.5000  0.5000 (multiplicity 3)  2 Ta 2.48


# 2
The following is a DFT calculation (GGA-PBEsol) of a geometry-optimized TaInBr structure.

Output
- formation energy (no corrections) (eV/atom) = 0.31
- energy relative to the lowest polymorph listed for this composition (eV/atom) = 0.1305

abc: 4.7445 4.7445 3.0512
angles: 90.00 90.00 120.00
With the nearest neighbours (Å) after each atom.
Space group P-6m2 (No. 187)
One atom of each set of equivalent atoms:
Ta  0.0000  0.0000  0.0000 (multiplicity 1)  3 Br 2.74, 2 Ta 3.05
In  0.6667  0.3333  0.5000 (multiplicity 1)  2 In 3.05, 6 Ta 3.14, 6 Br 3.14
Br  0.3333  0.6667  0.0000 (multiplicity 1)  3 Ta 2.74, 2 Br 3.05


# 3
The following is a DFT calculation (GGA-PBEsol) of a geometry-optimized AlPdPtSe2 structure.

Output
- formation energy (no corrections) (eV/atom) = 0.51

abc: 4.9505 4.9505 4.5927
angles: 90.00 90.00 90.00
With the nearest neighbours (Å) after each atom.
Space group P4/mmm (No. 123)
One atom of each set of equivalent atoms:
Al  0.0000  0.0000  0.0000 (multiplicity 1)  2 Pt 2.30
Pd  0.5000  0.5000  0.0000 (multiplicity 1)  8 Se 3.38, 4 Al 3.50
Pt  0.0000  0.0000  0.5000 (multiplicity 1)  2 Al 2.30, 4 Se 2.48
Se  0.0000  0.5000  0.5000 (multiplicity 2)  2 Pt 2.48


# 4
The following is a DFT calculation (GGA-PBEsol) of a geometry-optimized Ti3AsPb structure.

Output
- formation energy from the elements (eV per formula unit) = 6.1

abc: 5.0742 5.0742 5.0742
angles: 90.00 90.00 90.00
With the nearest neighbours (Å) after each atom.
Space group Pm-3m (No. 221)
One atom of each set of equivalent atoms:
Ti  0.0000  0.0000  0.5000 (multiplicity 3)  2 Pb 2.54
As  0.5000  0.5000  0.5000 (multiplicity 1)  12 Ti 3.59
Pb  0.0000  0.0000  0.0000 (multiplicity 1)  6 Ti 2.54


# 5
The following is a DFT calculation (GGA-PBEsol) of a geometry-optimized ScReOs2 structure.

Output
- formation energy from the elements (eV per formula unit) = 0.6

abc: 3.8462 3.8462 8.1820
angles: 90.00 90.00 90.00
With the nearest neighbours (Å) after each atom.
Space group I-4m2 (No. 119)
One atom of each set of equivalent atoms:
Sc  0.0000  0.0000  0.0000 (multiplicity 2)  8 Os 2.72-2.81, 4 Re 2.81
Re  0.0000  0.5000  0.7500 (multiplicity 2)  8 Os 2.72-2.81, 4 Sc 2.81
Os  0.0000  0.0000  0.5000 (multiplicity 2)  4 Sc 2.72, 4 Re 2.81, 4 Os 2.81
Os  0.0000  0.5000  0.2500 (multiplicity 2)  4 Re 2.72, 4 Os 2.81, 4 Sc 2.81


# 6
The following is a DFT calculation (GGA-PBEsol) of a geometry-optimized MnZn2Cd structure.

Output
- formation energy from the elements (eV per formula unit) = 0.4

abc: 2.8197 2.8197 7.5346
angles: 90.00 90.00 90.00
With the nearest neighbours (Å) after each atom.
Space group P4/mmm (No. 123)
One atom of each set of equivalent atoms:
Mn  0.0000  0.0000  0.0000 (multiplicity 1)  8 Zn 2.58, 4 Mn 2.82
Zn  0.5000  0.5000  0.2180 (multiplicity 2)  4 Mn 2.58, 4 Zn 2.82
Cd  0.0000  0.0000  0.5000 (multiplicity 1)  4 Cd 2.82, 8 Zn 2.91


# 7
The following is a DFT calculation (GGA-PBEsol) of a geometry-optimized CoMo2As structure.

Output
- formation energy from the elements (eV per formula unit) = 0.7

abc: 5.2662 7.6695 2.8054
angles: 90.00 103.24 90.00
With the nearest neighbours (Å) after each atom.
Space group C2/m (No. 12)
One atom of each set of equivalent atoms:
Co  0.0000  0.0000  0.0000 (multiplicity 2)  4 Mo 2.56, 2 As 2.63, 2 Co 2.81
Mo  0.2500  0.2500  0.5000 (multiplicity 4)  2 As 2.56, 2 Co 2.56, 4 Mo 2.63-2.81
As  0.0000  0.5000  0.0000 (multiplicity 2)  4 Mo 2.56, 2 Co 2.63, 2 As 2.81


# 8
The following is a DFT calculation (GGA-PBEsol) of a geometry-optimized TaBePb structure.

Output
- formation energy from the elements (eV per formula unit) = 4.4

abc: 6.3095 6.3095 6.3095
angles: 90.00 90.00 90.00
With the nearest neighbours (Å) after each atom.
Space group F-43m (No. 216)
One atom of each set of equivalent atoms:
Ta  0.0000  0.0000  0.0000 (multiplicity 4)  4 Pb 2.73
Be  0.0000  0.0000  0.5000 (multiplicity 4)  4 Pb 2.73
Pb  0.2500  0.2500  0.2500 (multiplicity 4)  4 Be 2.73, 4 Ta 2.73


# 9
The following is a DFT calculation (GGA-PBEsol) of a geometry-optimized InSnCl3 structure.

Output
- formation energy (no corrections) (eV/atom) = -0.85

abc: 7.9697 7.6222 5.5384
angles: 90.00 91.37 90.00
With the nearest neighbours (Å) after each atom.
Space group Cm (No. 8)
One atom of each set of equivalent atoms:
In  0.0000  0.0000  0.0000 (multiplicity 2)  3 Cl 2.94
Sn  0.3923  0.0000  0.5935 (multiplicity 2)  6 Cl 2.71-2.84
Cl  0.1285  0.2364  0.6286 (multiplicity 4)  2 Sn 2.76-2.78, 1 In 2.94
Cl  0.3661  0.0000  0.0814 (multiplicity 2)  2 Sn 2.71-2.84, 1 In 2.94


# 10
The following is a DFT calculation (GGA-PBEsol) of a geometry-optimized BeFe2Os structure.

Output
- formation energy from the elements (eV per formula unit) = 0.7

abc: 2.8484 4.1870 7.6763
angles: 90.00 90.00 90.00
With the nearest neighbours (Å) after each atom.
Space group Cmm2 (No. 35)
One atom of each set of equivalent atoms:
Be  0.0000  0.0000  0.0000 (multiplicity 2)  2 Fe 2.26, 2 Os 2.36
Fe  0.0000  0.0000  0.4769 (multiplicity 2)  6 Fe 2.38-2.53, 2 Os 2.56
Fe  0.0000  0.5000  0.2280 (multiplicity 2)  2 Be 2.26, 2 Fe 2.38
Os  0.0000  0.5000  0.7547 (multiplicity 2)  2 Be 2.36, 4 Os 2.53, 2 Fe 2.56


# 11
The following is a DFT calculation (GGA-PBEsol) of a geometry-optimized ZrCoNi2 structure.

Output
- formation energy from the elements (eV per formula unit) = 1.0

abc: 2.6716 2.6716 25.3495
angles: 90.00 90.00 120.00
With the nearest neighbours (Å) after each atom.
Space group R-3m (No. 166, hexagonal axes)
One atom of each set of equivalent atoms:
Zr  0.0000  0.0000  0.0000 (multiplicity 3)  6 Zr 2.67, 6 Ni 2.80
Co  0.0000  0.0000  0.5000 (multiplicity 3)  6 Ni 2.44, 6 Co 2.67
Ni  0.0000  0.0000  0.2411 (multiplicity 6)  3 Co 2.44, 6 Ni 2.67


# 12
The following is a DFT calculation (GGA-PBEsol) of a geometry-optimized BaHf2Tl structure.

Output
- formation energy from the elements (eV per formula unit) = 2.4

abc: 7.2435 7.2435 7.2435
angles: 90.00 90.00 90.00
With the nearest neighbours (Å) after each atom.
Space group Fm-3m (No. 225)
One atom of each set of equivalent atoms:
Ba  0.0000  0.0000  0.0000 (multiplicity 4)  8 Hf 3.14
Hf  0.2500  0.2500  0.2500 (multiplicity 8)  4 Ba 3.14, 4 Tl 3.14
Tl  0.0000  0.0000  0.5000 (multiplicity 4)  8 Hf 3.14


# 13
The following is a DFT calculation (GGA-PBEsol) of a geometry-optimized MgZn2Cd structure.

Output
- energy relative to the lowest polymorph listed for this composition (eV/atom) = 0.0530
- formation energy from the elements (eV per formula unit) = 0.1

abc: 9.1903 3.0223 5.1866
angles: 90.00 101.20 90.00
With the nearest neighbours (Å) after each atom.
Space group C2/m (No. 12)
One atom of each set of equivalent atoms:
Mg  0.0000  0.0000  0.0000 (multiplicity 2)  6 Zn 2.83-2.84, 4 Cd 3.00, 2 Mg 3.02
Zn  0.2492  0.5000  0.2457 (multiplicity 4)  3 Mg 2.83-2.84, 3 Cd 2.86, 6 Zn 2.97-3.04
Cd  0.0000  0.5000  0.5000 (multiplicity 2)  6 Zn 2.86, 4 Mg 3.00, 2 Cd 3.02


# 14
The following is a DFT calculation (GGA-PBEsol) of a geometry-optimized NaCrCd2S structure.

Output
- formation energy (no corrections) (eV/atom) = 0.88

abc: 5.1574 5.1574 4.7617
angles: 90.00 90.00 90.00
With the nearest neighbours (Å) after each atom.
Space group P4/mmm (No. 123)
One atom of each set of equivalent atoms:
Na  0.0000  0.0000  0.0000 (multiplicity 1)  2 S 2.38, 4 Cd 2.58
Cr  0.5000  0.5000  0.5000 (multiplicity 1)  8 Cd 3.51, 4 S 3.65
Cd  0.0000  0.5000  0.0000 (multiplicity 2)  2 Na 2.58
S  0.0000  0.0000  0.5000 (multiplicity 1)  2 Na 2.38


# 15
The following is a DFT calculation (GGA-PBEsol) of a geometry-optimized Dy2AgIr structure.

Output
- formation energy from the elements (eV per formula unit) = -2.4

abc: 6.9080 6.9080 6.9080
angles: 90.00 90.00 90.00
With the nearest neighbours (Å) after each atom.
Space group Fm-3m (No. 225)
One atom of each set of equivalent atoms:
Dy  0.2500  0.2500  0.2500 (multiplicity 8)  4 Ir 2.99, 4 Ag 2.99
Ag  0.0000  0.0000  0.0000 (multiplicity 4)  8 Dy 2.99
Ir  0.0000  0.0000  0.5000 (multiplicity 4)  8 Dy 2.99


# 16
The following is a DFT calculation (GGA-PBEsol) of a geometry-optimized Fe3Ir structure.

Output
- formation energy from the elements (eV per formula unit) = -0.1

abc: 2.5518 3.9633 4.3507
angles: 90.00 90.00 90.00
With the nearest neighbours (Å) after each atom.
Space group Pmm2 (No. 25)
One atom of each set of equivalent atoms:
Fe  0.0000  0.0000  0.0000 (multiplicity 1)  8 Fe 2.41-2.63, 4 Ir 2.49
Fe  0.0000  0.5000  0.3195 (multiplicity 1)  8 Fe 2.42-2.55, 4 Ir 2.52-2.53
Fe  0.5000  0.0000  0.4707 (multiplicity 1)  10 Fe 2.41-2.63, 2 Ir 2.49
Ir  0.5000  0.5000  0.8185 (multiplicity 1)  10 Fe 2.49-2.53, 2 Ir 2.55


# 17
The following is a DFT calculation (GGA-PBEsol) of a geometry-optimized AlCr2B2 structure.

Output
- energy relative to the lowest polymorph listed for this composition (eV/atom) = 0.0265
- formation energy from the elements (eV per formula unit) = -2.5

abc: 5.5498 5.5498 2.9062
angles: 90.00 90.00 90.00
With the nearest neighbours (Å) after each atom.
Space group P4/mbm (No. 127)
One atom of each set of equivalent atoms:
Al  0.0000  0.0000  0.0000 (multiplicity 2)  4 B 2.24
Cr  0.1721  0.3279  0.5000 (multiplicity 4)  6 B 2.17-2.22
B  0.1135  0.6135  0.0000 (multiplicity 4)  1 B 1.78


# 18
The following is a DFT calculation (GGA-PBEsol) of a geometry-optimized ZrGaAs2Br structure.

Output
- formation energy (no corrections) (eV/atom) = 0.38

abc: 4.7838 4.7838 4.9186
angles: 90.00 90.00 90.00
With the nearest neighbours (Å) after each atom.
Space group P4/mmm (No. 123)
One atom of each set of equivalent atoms:
Zr  0.0000  0.0000  0.0000 (multiplicity 1)  4 Br 3.38, 8 As 3.43
Ga  0.5000  0.5000  0.5000 (multiplicity 1)  4 As 2.39, 2 Br 2.46
As  0.0000  0.5000  0.5000 (multiplicity 2)  2 Ga 2.39
Br  0.5000  0.5000  0.0000 (multiplicity 1)  2 Ga 2.46


# 19
The following is a DFT calculation (GGA-PBEsol) of a geometry-optimized MnPbBr structure.

Output
- formation energy (no corrections) (eV/atom) = 0.00

abc: 3.4801 3.4801 7.2078
angles: 90.00 90.00 120.00
With the nearest neighbours (Å) after each atom.
Space group P3m1 (No. 156)
One atom of each set of equivalent atoms:
Mn  0.0000  0.0000  0.0000 (multiplicity 1)  3 Br 2.57
Pb  0.3333  0.6667  0.6956 (multiplicity 1)  3 Mn 2.97
Br  0.6667  0.3333  0.2219 (multiplicity 1)  3 Mn 2.57


# 20
The following is a DFT calculation (GGA-PBEsol) of a geometry-optimized ZrSiAg3 structure.

Output
- formation energy (no corrections) (eV/atom) = 1.61

abc: 5.0803 5.0803 5.0803
angles: 90.00 90.00 90.00
With the nearest neighbours (Å) after each atom.
Space group Pm-3m (No. 221)
One atom of each set of equivalent atoms:
Zr  0.0000  0.0000  0.0000 (multiplicity 1)  6 Ag 2.54
Si  0.5000  0.5000  0.5000 (multiplicity 1)  12 Ag 3.59
Ag  0.0000  0.0000  0.5000 (multiplicity 3)  2 Zr 2.54